1.
An optimized crystal structure of NdAl6Cu6, computed with PBE.

Output
Uncorrected energy: -4.336 eV per atom
Total moment: 0.00 μB/f.u.
DOS(E_F): 0.241 states/eV per atom

abc: 6.678 6.678 6.678
angles: 134.97 99.16 97.71
Fractional positions:
1 Nd 0.000 0.000 0.000
2 Al 0.206 0.706 0.500
3 Al 0.348 0.000 0.348
4 Al 0.350 0.350 0.000
5 Al 0.650 0.650 0.000
6 Al 0.652 0.000 0.652
7 Al 0.794 0.294 0.500
8 Cu 0.000 0.000 0.500
9 Cu 0.000 0.500 0.000
10 Cu 0.233 0.500 0.733
11 Cu 0.500 0.000 0.000
12 Cu 0.500 0.500 0.500
13 Cu 0.767 0.500 0.267



2.
An optimized crystal structure of Mg6ZnCdO8, computed with PBE.

Output
Total moment: 0.00 μB/f.u.
DOS(E_F): 0.000 states/eV per atom
Formation energy without anion corrections: -36.12 eV/f.u.

abc: 4.375 4.375 8.688
angles: 90.00 90.00 90.00
Fractional positions:
1 Mg 0.000 0.000 0.000
2 Mg 0.000 0.000 0.500
3 Mg 0.000 0.500 0.243
4 Mg 0.000 0.500 0.757
5 Mg 0.500 0.000 0.243
6 Mg 0.500 0.000 0.757
7 Zn 0.500 0.500 0.000
8 Cd 0.500 0.500 0.500
9 O 0.000 0.000 0.250
10 O 0.000 0.000 0.750
11 O 0.000 0.500 0.000
12 O 0.000 0.500 0.500
13 O 0.500 0.000 0.000
14 O 0.500 0.000 0.500
15 O 0.500 0.500 0.235
16 O 0.500 0.500 0.765



3.
An optimized crystal structure of Y4C2O, computed with PBE.

Output
Total moment: 0.16 μB/f.u.
DOS(E_F): 0.476 states/eV per atom
Formation energy without anion corrections: -7.58 eV/f.u.

abc: 7.138 7.138 7.138
angles: 120.09 119.24 90.58
Fractional positions:
1 Y 0.256 0.249 0.493
2 Y 0.256 0.763 0.007
3 Y 0.266 0.249 0.017
4 Y 0.268 0.751 0.517
5 Y 0.732 0.249 0.483
6 Y 0.734 0.751 0.983
7 Y 0.744 0.237 0.993
8 Y 0.744 0.751 0.507
9 C 0.000 0.000 0.000
10 C 0.500 0.000 0.000
11 C 0.500 0.000 0.500
12 C 0.500 0.500 0.500
13 O 0.000 0.500 0.500
14 O 0.500 0.500 0.000



4.
An optimized crystal structure of La3Pr2DyAs6, computed with PBE.

Output
Uncorrected energy: -6.272 eV per atom
Total moment: 0.00 μB/f.u.
DOS(E_F): 0.123 states/eV per atom

abc: 9.639 9.639 8.624
angles: 102.95 102.95 25.86
Fractional positions:
1 La 0.000 0.000 0.000
2 La 0.333 0.333 0.666
3 La 0.667 0.667 0.334
4 Pr 0.334 0.334 0.168
5 Pr 0.666 0.666 0.832
6 Dy 0.000 0.000 0.500
7 As 0.163 0.163 0.583
8 As 0.167 0.167 0.082
9 As 0.500 0.500 0.259
10 As 0.500 0.500 0.741
11 As 0.833 0.833 0.918
12 As 0.837 0.837 0.417



| no. | volume (Å³/f.u.) |
| --- | --- |
| 1 | 194.6 |
| 2 | 166.3 |
| 3 | 129.2 |
| 4 | 340.2 |